DFT (GGA+U) results for a geometry-optimized Tm6VO12 structure.

```
Tm6VO12
1.0
6.3255 0.0068 0.0082
-0.9522 6.2534 0.0082
-0.9522 -1.1094 6.1542
O V Tm
12 1 6
Direct
0.9309 0.0366 0.7011
0.0691 0.9634 0.2989
0.8223 0.5616 0.4121
0.5616 0.4121 0.8223
0.2989 0.0691 0.9634
0.9634 0.2989 0.0691
0.1777 0.4384 0.5879
0.4121 0.8223 0.5616
0.0366 0.7011 0.9309
0.5879 0.1777 0.4384
0.4384 0.5879 0.1777
0.7011 0.9309 0.0366
0.0000 0.0000 0.0000
0.6125 0.2998 0.1389
0.3875 0.7002 0.8611
0.8611 0.3875 0.7002
0.2998 0.1389 0.6125
0.1389 0.6125 0.2998
0.7002 0.8611 0.3875
```

Its calculated density is 8.57 Mg/m³. As for the total magnetic moment: 1.1 μB/cell. Its electronic total energy is -154.92 eV for the cell shown.